# 1
Computed, not measured: a geometry-optimized Pm2BiF structure at the PBE-GGA level of DFT.

```
Pm2BiF
1.0
8.456 0.000 0.000
0.000 6.660 0.000
-1.549 0.000 7.736
Pm Bi F
8 4 4
Direct
0.087 0.175 0.327 Pm
0.087 0.325 0.827 Pm
0.315 0.669 0.512 Pm
0.315 0.831 0.012 Pm
0.685 0.169 0.988 Pm
0.685 0.331 0.488 Pm
0.913 0.675 0.173 Pm
0.913 0.825 0.673 Pm
0.378 0.137 0.670 Bi
0.378 0.363 0.170 Bi
0.622 0.637 0.830 Bi
0.622 0.863 0.330 Bi
0.054 0.659 0.930 F
0.054 0.841 0.430 F
0.946 0.159 0.570 F
0.946 0.341 0.070 F
```

Properties
- V (Å³/atom) = 27.23
- space-group type = No. 14
- density of states at the Fermi level (states/eV per cell) = 10.9
- formation energy without anion corrections (eV per atom) = -1.600

=====

# 2
Computed, not measured: a geometry-optimized Al3Fe structure at the PBE-GGA level of DFT.

```
Al3Fe
1.0
6.275 0.000 0.000
0.000 6.275 0.000
0.000 0.000 6.344
Al Fe
12 4
Direct
0.000 0.500 0.000 Al
0.000 0.500 0.500 Al
0.156 0.156 0.238 Al
0.156 0.156 0.762 Al
0.344 0.656 0.262 Al
0.344 0.656 0.738 Al
0.500 0.000 0.000 Al
0.500 0.000 0.500 Al
0.656 0.344 0.262 Al
0.656 0.344 0.738 Al
0.844 0.844 0.238 Al
0.844 0.844 0.762 Al
0.155 0.845 0.000 Fe
0.345 0.345 0.500 Fe
0.655 0.655 0.500 Fe
0.845 0.155 0.000 Fe
```

Properties
- ΔE_f (eV per atom) = -0.3297
- V (Å³/atom) = 15.61
- space-group type = No. 136

=====

# 3
Computed, not measured: a geometry-optimized Mg5NiRh4 structure at the PBE-GGA level of DFT.

```
Mg5NiRh4
1.0
3.129 0.000 0.000
0.000 3.129 0.000
0.000 0.000 15.388
Mg Ni Rh
5 1 4
Direct
0.000 0.000 0.000 Mg
0.000 0.000 0.202 Mg
0.000 0.000 0.402 Mg
0.000 0.000 0.598 Mg
0.000 0.000 0.798 Mg
0.500 0.500 0.500 Ni
0.500 0.500 0.101 Rh
0.500 0.500 0.305 Rh
0.500 0.500 0.695 Rh
0.500 0.500 0.899 Rh
```

Properties
- ΔE_f (eV per atom) = -0.4137
- V (Å³/atom) = 15.06
- space-group type = No. 123
- density of states at the Fermi level (states/eV per cell) = 8.3

=====

# 4
Computed, not measured: a geometry-optimized ScBeCd2W structure at the PBE-GGA level of DFT.

```
ScBeCd2W
1.0
5.180 0.000 0.000
0.000 5.180 0.000
0.000 0.000 4.345
Sc Be Cd W
1 1 2 1
Direct
0.000 0.000 0.000 Sc
0.500 0.500 0.000 Be
0.000 0.500 0.500 Cd
0.500 0.000 0.500 Cd
0.500 0.500 0.500 W
```

Properties
- ΔE_f (eV per atom) = 1.0485
- V (Å³/atom) = 23.32
- space-group type = No. 123
- density of states at the Fermi level (states/eV per cell) = 4.4

=====

# 5
Computed, not measured: a geometry-optimized K2CuAgBr5 structure at the PBE-GGA level of DFT.

```
K2CuAgBr5
1.0
2.074 -10.441 0.000
2.074 10.441 0.000
0.000 0.000 13.126
K Cu Ag Br
4 2 2 10
Direct
0.114 0.886 0.500 K
0.124 0.876 0.870 K
0.876 0.124 0.370 K
0.886 0.114 0.000 K
0.439 0.561 0.627 Cu
0.561 0.439 0.127 Cu
0.219 0.781 0.222 Ag
0.781 0.219 0.722 Ag
0.032 0.968 0.215 Br
0.288 0.712 0.864 Br
0.324 0.676 0.590 Br
0.349 0.651 0.184 Br
0.490 0.510 0.461 Br
0.510 0.490 0.961 Br
0.651 0.349 0.684 Br
0.676 0.324 0.090 Br
0.712 0.288 0.364 Br
0.968 0.032 0.715 Br
```

Properties
- V (Å³/atom) = 31.59
- space-group type = No. 36
- density of states at the Fermi level (states/eV per cell) = 18.4
- formation energy without anion corrections (eV per atom) = -0.926

=====

# 6
Computed, not measured: a geometry-optimized Tm8Cu2Ir structure at the PBE-GGA level of DFT.

```
Tm8Cu2Ir
1.0
8.514 -2.506 0.000
8.514 2.506 0.000
-1.900 0.000 6.301
Tm Cu Ir
8 2 1
Direct
0.033 0.033 0.292 Tm
0.201 0.201 0.824 Tm
0.333 0.333 0.523 Tm
0.409 0.409 0.059 Tm
0.591 0.591 0.941 Tm
0.667 0.667 0.477 Tm
0.799 0.799 0.176 Tm
0.967 0.967 0.708 Tm
0.185 0.185 0.221 Cu
0.815 0.815 0.779 Cu
0.500 0.500 0.500 Ir
```

Properties
- ΔE_f (eV per atom) = -0.3040
- V (Å³/atom) = 24.44
- space-group type = No. 12
- density of states at the Fermi level (states/eV per cell) = 8.3

=====

# 7
Computed, not measured: a geometry-optimized Dy3CoNi2 structure at the PBE-GGA level of DFT.

```
Dy3CoNi2
1.0
11.073 0.000 0.000
0.000 3.885 0.000
0.000 0.000 11.314
Dy Co Ni
12 4 8
Direct
0.058 0.250 0.124 Dy
0.120 0.750 0.556 Dy
0.210 0.250 0.802 Dy
0.290 0.750 0.302 Dy
0.380 0.250 0.056 Dy
0.442 0.750 0.624 Dy
0.558 0.250 0.376 Dy
0.620 0.750 0.944 Dy
0.710 0.250 0.698 Dy
0.790 0.750 0.198 Dy
0.880 0.250 0.444 Dy
0.942 0.750 0.876 Dy
0.126 0.250 0.370 Co
0.374 0.750 0.870 Co
0.626 0.250 0.130 Co
0.874 0.750 0.630 Co
0.024 0.750 0.310 Ni
0.191 0.750 0.990 Ni
0.309 0.250 0.490 Ni
0.476 0.250 0.810 Ni
0.524 0.750 0.190 Ni
0.691 0.750 0.510 Ni
0.809 0.250 0.010 Ni
0.976 0.250 0.690 Ni
```

Properties
- ΔE_f (eV per atom) = -0.3343
- V (Å³/atom) = 20.28
- space-group type = No. 62
- density of states at the Fermi level (states/eV per cell) = 22.3

=====

# 8
Computed, not measured: a geometry-optimized Dy2TmO structure at the PBE-GGA level of DFT.

```
Dy2TmO
1.0
1.761 1.017 8.600
-1.761 1.017 8.600
0.000 -2.033 8.600
Dy Tm O
2 1 1
Direct
0.219 0.219 0.219 Dy
0.781 0.781 0.781 Dy
0.000 0.000 0.000 Tm
0.500 0.500 0.500 O
```

Properties
- V (Å³/atom) = 23.09
- space-group type = No. 166
- density of states at the Fermi level (states/eV per cell) = 4.5
- formation energy without anion corrections (eV per atom) = -1.343

=====

# 9
Computed, not measured: a geometry-optimized Ta2CrPb structure at the PBE-GGA level of DFT.

```
Ta2CrPb
1.0
-2.074 2.074 4.277
2.074 -2.074 4.277
2.074 2.074 -4.277
Ta Cr Pb
2 1 1
Direct
0.000 0.000 0.000 Ta
0.750 0.250 0.500 Ta
0.250 0.750 0.500 Cr
0.500 0.500 0.000 Pb
```

Properties
- ΔE_f (eV per atom) = 0.5385
- V (Å³/atom) = 18.39
- space-group type = No. 119
- density of states at the Fermi level (states/eV per cell) = 5.0

=====

Which formula does entry 5 have? K2CuAgBr5